No. 1
# GGA-PBE SrIn2ReF, optimized geometry
# VASP energy: -4.3784 eV per atom
# Total magnetization: 1.9 μB/f.u.
# Formation energy without anion corrections: -83 meV/atom
# DOS(E_F): 4.016 states/eV per cell
data_SrIn2ReF
_chemical_formula_sum 'Sr1 In2 Re1 F1'
_space_group_name_H-M_alt 'P 4/m m m'
_space_group_IT_number 123
_space_group_name_Hall '-P 4 2'
_cell_length_a 4.926
_cell_length_b 4.926
_cell_length_c 4.645
_cell_angle_alpha 90.00
_cell_angle_beta 90.00
_cell_angle_gamma 90.00
loop_
_atom_site_label
_atom_site_fract_x
_atom_site_fract_y
_atom_site_fract_z
Sr1 0.000 0.000 0.000
In1 0.000 0.500 0.500
Re1 0.500 0.500 0.000
F1 0.000 0.000 0.500


No. 2
# GGA-PBE TiIn2ReF, optimized geometry
# VASP energy: -5.1857 eV per atom
# Total magnetization: 1.8 μB/f.u.
# Formation energy without anion corrections: 353 meV/atom
# DOS(E_F): 4.582 states/eV per cell
data_TiIn2ReF
_chemical_formula_sum 'Ti1 In2 Re1 F1'
_space_group_name_H-M_alt 'P 4/m m m'
_space_group_IT_number 123
_space_group_name_Hall '-P 4 2'
_cell_length_a 5.410
_cell_length_b 5.410
_cell_length_c 3.645
_cell_angle_alpha 90.00
_cell_angle_beta 90.00
_cell_angle_gamma 90.00
loop_
_atom_site_label
_atom_site_fract_x
_atom_site_fract_y
_atom_site_fract_z
Ti1 0.000 0.000 0.000
In1 0.000 0.500 0.000
Re1 0.500 0.500 0.500
F1 0.000 0.000 0.500